The following is a DFT calculation (PBEsol) of an optimized crystal structure of NaSbNF2.

Computed properties:
Total magnetic moment = 0.000 μB per atom
Crystal system = tetragonal
Formation energy without anion corrections = -5.7 eV/f.u.
Theoretical density = 4.09 g/cm³
Space group = P4/mmm (123)

Cell and atoms, written as POSCAR:
```
NaSbNF2
1.0
-1.973 3.436 -0.684
-3.333 -1.393 2.613
1.996 1.850 3.532
Na Sb F N
1 1 2 1
Direct
0.500 0.500 0.500 Na
0.000 0.000 0.000 Sb
0.000 0.000 0.500 F
0.000 0.500 0.000 F
0.500 0.000 0.000 N
```

The following is a DFT calculation (PBEsol) of an optimized crystal structure of FeCuAg2.

Computed properties:
Total magnetic moment = 0.700 μB per atom
Crystal system = trigonal
Energy above the lowest structure with this stoichiometry = 0 meV/atom
Calculated formation energy = 0.24 eV/atom
Theoretical density = 9.82 g/cm³
Space group = R3m (160)

Cell and atoms, written as POSCAR:
```
FeCuAg2
1.0
-1.271 1.767 -1.633
-2.189 -0.785 -1.413
-6.362 2.781 5.693
Ag Cu Fe
2 1 1
Direct
0.996 0.996 0.012 Ag
0.755 0.755 0.735 Ag
0.504 0.504 0.487 Cu
0.245 0.245 0.266 Fe
```

The following is a DFT calculation (PBEsol) of an optimized crystal structure of RbCu2Ag.

Computed properties:
Total magnetic moment = 0.000 μB per atom
Crystal system = cubic
Calculated formation energy = 0.84 eV/atom
Theoretical density = 6.58 g/cm³
Space group = Fm-3m (225)

Cell and atoms, written as POSCAR:
```
RbCu2Ag
1.0
-1.534 4.008 2.271
0.024 0.201 4.851
3.183 2.858 2.295
Rb Ag Cu
1 1 2
Direct
0.000 0.000 0.000 Rb
0.500 0.500 0.500 Ag
0.750 0.750 0.750 Cu
0.250 0.250 0.250 Cu
```

The following is a DFT calculation (PBEsol) of an optimized crystal structure of Rb2Mg.

Computed properties:
Total magnetic moment = 0.000 μB per atom
Crystal system = tetragonal
Energy above the lowest structure with this stoichiometry = 30 meV/atom
Calculated formation energy = 0.24 eV/atom
Theoretical density = 1.69 g/cm³
Space group = P4/mmm (123)

Cell and atoms, written as POSCAR:
```
Rb2Mg
1.0
-1.058 -3.131 -2.702
1.389 -4.552 4.732
-6.352 0.294 2.147
Rb Mg
2 1
Direct
0.500 0.500 0.000 Rb
0.500 0.000 0.500 Rb
0.000 0.000 0.000 Mg
```

The following is a DFT calculation (PBEsol) of an optimized crystal structure of FeHgBi3.

Computed properties:
Total magnetic moment = 0.675 μB per atom
Crystal system = cubic
Calculated formation energy = 1.34 eV/atom
Theoretical density = 8.51 g/cm³
Space group = Pm-3m (221)

Cell and atoms, written as POSCAR:
```
FeHgBi3
1.0
-4.163 2.174 -2.986
-3.511 -0.933 4.216
1.146 5.038 2.069
Bi Hg Fe
3 1 1
Direct
0.000 0.500 0.000 Bi
0.000 0.000 0.500 Bi
0.500 0.000 0.000 Bi
0.000 0.000 0.000 Hg
0.500 0.500 0.500 Fe
```

The following is a DFT calculation (PBEsol) of an optimized crystal structure of Mg2RuAu.

Computed properties:
Total magnetic moment = 0.000 μB per atom
Crystal system = cubic
Calculated formation energy = 0.00 eV/atom
Theoretical density = 8.87 g/cm³
Space group = F-43m (216)

Cell and atoms, written as POSCAR:
```
Mg2RuAu
1.0
-1.099 -4.368 -0.245
0.123 -2.568 3.707
-3.841 -1.467 1.856
Au Mg Ru
1 2 1
Direct
0.500 0.500 0.500 Au
0.750 0.750 0.750 Mg
0.000 0.000 0.000 Mg
0.250 0.250 0.250 Ru
```

The following is a DFT calculation (PBEsol) of an optimized crystal structure of ScAg2Cl.

Computed properties:
Total magnetic moment = 0.000 μB per atom
Crystal system = monoclinic
Energy above the lowest structure with this stoichiometry = 0 meV/atom
Formation energy without anion corrections = -1.6 eV/f.u.
Theoretical density = 6.55 g/cm³
Space group = C2/m (12)

Cell and atoms, written as POSCAR:
```
ScAg2Cl
1.0
3.065 0.002 0.000
-0.058 4.404 0.000
-1.504 -2.203 5.564
Ag Cl Sc
2 1 1
Direct
0.500 0.500 0.500 Ag
0.000 0.000 0.500 Ag
0.500 0.000 0.000 Cl
0.000 0.500 0.000 Sc
```

The following is a DFT calculation (PBEsol) of an optimized crystal structure of LiRe2P.

Computed properties:
Total magnetic moment = 0.000 μB per atom
Crystal system = monoclinic
Calculated formation energy = 0.30 eV/atom
Theoretical density = 12.86 g/cm³
Space group = C2/m (12)

Cell and atoms, written as POSCAR:
```
LiRe2P
1.0
2.686 -0.001 0.000
-0.190 4.781 0.000
-1.248 -2.390 4.126
Li Re P
1 2 1
Direct
0.500 0.000 0.000 Li
0.500 0.500 0.500 Re
0.000 0.000 0.500 Re
0.000 0.500 0.000 P
```

The following is a DFT calculation (PBEsol) of an optimized crystal structure of LaZr2In.

Computed properties:
Total magnetic moment = 0.000 μB per atom
Crystal system = monoclinic
Calculated formation energy = -0.01 eV/atom
Theoretical density = 7.35 g/cm³
Space group = P2/m (10)

Cell and atoms, written as POSCAR:
```
LaZr2In
1.0
-3.040 1.117 -0.116
-1.162 -2.714 4.328
2.155 4.319 3.287
Zr La In
2 1 1
Direct
0.303 0.000 0.233 Zr
0.697 0.000 0.767 Zr
0.000 0.500 0.500 La
0.500 0.500 0.000 In
```

The following is a DFT calculation (PBEsol) of an optimized crystal structure of TaTeMo2.

Computed properties:
Total magnetic moment = 0.000 μB per atom
Crystal system = trigonal
Formation energy without anion corrections = 1.4 eV/f.u.
Theoretical density = 11.56 g/cm³
Space group = R3m (160)

Cell and atoms, written as POSCAR:
```
TaTeMo2
1.0
-1.548 1.376 -2.394
-2.615 -1.343 -1.174
-5.998 4.250 4.231
Te Ta Mo
1 1 2
Direct
0.251 0.251 0.246 Te
0.494 0.494 0.518 Ta
0.748 0.748 0.757 Mo
0.007 0.007 0.980 Mo
```

The following is a DFT calculation (PBEsol) of an optimized crystal structure of CuAg2Cl.

Computed properties:
Total magnetic moment = 0.000 μB per atom
Crystal system = orthorhombic
Energy above the lowest structure with this stoichiometry = 17 meV/atom
Formation energy without anion corrections = 0.3 eV/f.u.
Theoretical density = 7.35 g/cm³
Space group = Imm2 (44)

Cell and atoms, written as POSCAR:
```
CuAg2Cl
1.0
-2.254 -0.606 -1.840
0.162 -3.989 1.116
-2.706 3.336 4.619
Cl Ag Cu
1 2 1
Direct
0.562 0.562 0.124 Cl
0.780 0.280 0.559 Ag
0.929 0.929 0.859 Ag
0.229 0.729 0.458 Cu
```

The following is a DFT calculation (PBEsol) of an optimized crystal structure of CdTc2Pb.

Computed properties:
Total magnetic moment = 0.000 μB per atom
Crystal system = trigonal
Calculated formation energy = 0.77 eV/atom
Theoretical density = 12.20 g/cm³
Space group = R-3m (166)

Cell and atoms, written as POSCAR:
```
CdTc2Pb
1.0
3.020 0.000 0.000
1.510 2.615 0.000
1.510 0.872 8.888
Tc Pb Cd
2 1 1
Direct
0.251 0.251 0.247 Tc
0.749 0.749 0.753 Tc
0.000 0.000 0.000 Pb
0.500 0.500 0.500 Cd
```

The following is a DFT calculation (PBEsol) of an optimized crystal structure of MgH10SO9.

Computed properties:
Total magnetic moment = 0.000 μB per atom
Crystal system = triclinic
E = -0.400 Ry/atom
Theoretical density = 1.99 g/cm³
Space group = P-1 (2)

Cell and atoms, written as POSCAR:
```
MgH10SO9
1.0
-0.506 3.282 5.011
-5.938 0.842 1.322
-2.266 -7.742 6.610
H O S Mg
20 18 2 2
Direct
0.360 0.680 0.368 H
0.103 0.821 0.599 H
0.445 0.394 0.389 H
0.365 0.648 0.129 H
0.769 0.697 0.000 H
0.231 0.303 0.000 H
0.897 0.179 0.401 H
0.288 0.625 0.861 H
0.268 0.429 0.791 H
0.640 0.320 0.632 H
0.712 0.375 0.139 H
0.555 0.606 0.611 H
0.822 0.867 0.629 H
0.269 0.111 0.140 H
0.880 0.344 0.789 H
0.731 0.889 0.860 H
0.120 0.656 0.211 H
0.635 0.352 0.871 H
0.178 0.133 0.371 H
0.732 0.571 0.209 H
0.183 0.269 0.671 O
0.409 0.959 0.290 O
0.651 0.126 0.380 O
0.190 0.696 0.121 O
0.591 0.041 0.710 O
0.349 0.874 0.620 O
0.691 0.463 0.600 O
0.164 0.189 0.066 O
0.970 0.763 0.592 O
0.273 0.919 0.848 O
0.727 0.081 0.152 O
0.836 0.811 0.934 O
0.660 0.548 0.136 O
0.309 0.537 0.400 O
0.030 0.237 0.408 O
0.817 0.731 0.329 O
0.810 0.304 0.879 O
0.340 0.452 0.864 O
0.347 0.025 0.711 S
0.653 0.975 0.289 S
0.000 0.000 0.000 Mg
0.000 0.500 0.500 Mg
```

The following is a DFT calculation (PBEsol) of an optimized crystal structure of MoIr3.

Computed properties:
Total magnetic moment = 0.000 μB per atom
Crystal system = tetragonal
Energy above the lowest structure with this stoichiometry = 156 meV/atom
Calculated formation energy = -0.15 eV/atom
Theoretical density = 19.54 g/cm³
Space group = P4/mmm (123)

Cell and atoms, written as POSCAR:
```
MoIr3
1.0
-0.766 -2.583 -0.295
1.045 -0.024 -2.501
6.835 -2.356 2.879
Mo Ir
1 3
Direct
0.500 0.500 0.000 Mo
0.000 0.000 0.251 Ir
0.500 0.500 0.500 Ir
0.000 0.000 0.749 Ir
```